Density functional theory data (PBE-GGA) for crystalline Nb3Au at its relaxed geometry.

```
data_Nb3Au
_cell_length_a 3.412
_cell_length_b 3.412
_cell_length_c 6.233
_cell_angle_alpha 90.00
_cell_angle_beta 90.00
_cell_angle_gamma 90.00
_symmetry_space_group_name_H-M 'P 4/m m m'
_symmetry_Int_Tables_number 123
_symmetry_space_group_name_Hall '-P 4 2'
loop_
_atom_site_label
_atom_site_fract_x
_atom_site_fract_y
_atom_site_fract_z
Nb1 0.000 0.000 0.000
Nb2 0.500 0.500 0.238
Au1 0.000 0.000 0.500
```

## Properties
raw total energy	-8.450	eV per atom
calculated volume	72.6	Å³ per cell

---

Density functional theory data (PBE-GGA) for crystalline NbAu3 at its relaxed geometry.

```
data_NbAu3
_cell_length_a 2.936
_cell_length_b 2.936
_cell_length_c 8.338
_cell_angle_alpha 90.00
_cell_angle_beta 90.00
_cell_angle_gamma 90.00
_symmetry_space_group_name_H-M 'P 4/m m m'
_symmetry_Int_Tables_number 123
_symmetry_space_group_name_Hall '-P 4 2'
loop_
_atom_site_label
_atom_site_fract_x
_atom_site_fract_y
_atom_site_fract_z
Nb1 0.000 0.000 0.000
Au1 0.000 0.000 0.500
Au2 0.500 0.500 0.243
```

## Properties
raw total energy	-5.070	eV per atom
calculated volume	71.9	Å³ per cell